# La3TbTm2Se6

A relaxed La3TbTm2Se6 crystal (PBE-GGA, the Alexandria database).

a b c (Å): 7.1311 12.3924 7.3908
angles (deg): 90.00 108.85 90.00
Last column: nearest neighbours and their distance in Å.
Space group C2/m (No. 12)
Symmetry-distinct sites (fractional):
La  0.0000  0.0000  0.0000  6 Se 3.03-3.06
La  0.0000  0.3357  0.0000  6 Se 3.04-3.06
Tb  0.0000  0.5000  0.5000  6 Se 2.89-2.90
Tm  0.0000  0.1666  0.5000  6 Se 2.84-2.85
Se  0.2371  0.0000  0.7262  2 Tm 2.84, 1 Tb 2.89, 3 La 3.03-3.05
Se  0.2450  0.3309  0.7281  2 Tm 2.85, 1 Tb 2.90, 3 La 3.04-3.06

Results
ΔE_f (raw), eV per atom: -1.86
E_tot, eV per atom: -5.966

# La2TbTmSe6

A relaxed La2TbTmSe6 crystal (PBE-GGA, the Alexandria database).

a b c (Å): 7.4243 7.4243 19.4151
angles (deg): 90.00 90.00 120.00
Last column: nearest neighbours and their distance in Å.
Space group R3 (No. 146, hexagonal axes)
Symmetry-distinct sites (fractional):
La  0.0000  0.0000  0.0000  6 Se 3.00-3.07
La  0.0000  0.0000  0.4995  6 Se 2.99-3.07
Tb  0.0000  0.0000  0.2946  6 Se 2.84-2.91
Tm  0.0000  0.0000  0.7955  6 Se 2.81-2.86
Se  0.0181  0.6346  0.0576  1 Tm 2.81, 1 Tb 2.91, 2 La 3.00-3.07
Se  0.0242  0.3858  0.5566  1 Tb 2.84, 1 Tm 2.86, 2 La 2.99-3.07

Results
ΔE_f (raw), eV per atom: -1.91
E_tot, eV per atom: -5.901

# La3Tb3TmSe8

A relaxed La3Tb3TmSe8 crystal (PBE-GGA, the Alexandria database).

a b c (Å): 8.2975 8.2975 20.8336
angles (deg): 90.00 90.00 120.00
Last column: nearest neighbours and their distance in Å.
Space group R-3m (No. 166, hexagonal axes)
Symmetry-distinct sites (fractional):
La  0.0000  0.5000  0.0000  6 Se 3.03
Tb  0.0000  0.5000  0.5000  6 Se 2.89
Tm  0.0000  0.0000  0.5000  6 Se 2.89
Se  0.0000  0.0000  0.2446  3 Tb 2.89, 3 La 3.03
Se  0.0008  0.5004  0.2444  1 Tm 2.89, 2 Tb 2.89, 2 La 3.03

Results
ΔE_f (raw), eV per atom: -1.92
E_tot, eV per atom: -5.985

# LaTbTm2Se4

A relaxed LaTbTm2Se4 crystal (PBE-GGA, the Alexandria database).

a b c (Å): 7.0473 4.0372 7.2920
angles (deg): 90.00 108.55 90.00
Last column: nearest neighbours and their distance in Å.
Space group P2/m (No. 10)
Symmetry-distinct sites (fractional):
La  0.0000  0.0000  0.0000  6 Se 3.00-3.01
Tb  0.5000  0.5000  0.0000  6 Se 2.95
Tm  0.0000  0.5000  0.5000  6 Se 2.87
Tm  0.5000  0.0000  0.5000  6 Se 2.81-2.82
Se  0.2517  0.0000  0.7360  3 Tm 2.82-2.87, 2 Tb 2.95, 1 La 3.00
Se  0.2634  0.5000  0.2694  3 Tm 2.81-2.87, 1 Tb 2.95, 2 La 3.01

Results
ΔE_f (raw), eV per atom: -1.77
E_tot, eV per atom: -5.826